Density functional theory data (GGA+U) for a relaxed CoAuOF2 crystal.

Cell and atoms, written as POSCAR:
```
CoAuOF2
1.0
4.136 0.000 0.000
0.000 4.136 0.000
0.000 0.000 3.700
Co Au O F
1 1 1 2
Direct
0.000 0.000 0.000
0.500 0.500 0.500
0.000 0.000 0.500
0.000 0.500 0.000
0.500 0.000 0.000
```

* relative energy among the computed polymorphs: 0 meV/atom
* total DFT energy (no corrections): -21.1 eV/cell
* space-group type: No. 123